[1]
# Mg2TaCrO6 SCAN PBEsol geometry
# Formation energy (no corrections), kJ/mol of formula units: -2780
# Final energy, eV/cell: -322.2
data_Mg2TaCrO6
_chemical_formula_sum 'Mg4 Ta2 Cr2 O12'
_space_group_name_H-M_alt 'P 1'
_space_group_IT_number 1
_space_group_name_Hall 'P 1'
_cell_length_a 5.097
_cell_length_b 7.485
_cell_length_c 5.317
_cell_angle_alpha 90.00
_cell_angle_beta 90.26
_cell_angle_gamma 90.00
loop_
_atom_site_label
_atom_site_fract_x
_atom_site_fract_y
_atom_site_fract_z
Mg1 0.006 0.250 0.043
Mg2 0.486 0.250 0.571
Mg3 0.514 0.750 0.429
Mg4 0.994 0.750 0.957
Ta1 0.000 0.000 0.500
Ta2 0.000 0.500 0.500
Cr1 0.500 0.000 0.000
Cr2 0.500 0.500 0.000
O1 0.131 0.750 0.560
O2 0.181 0.067 0.812
O3 0.181 0.433 0.812
O4 0.318 0.067 0.314
O5 0.318 0.433 0.314
O6 0.372 0.750 0.066
O7 0.628 0.250 0.934
O8 0.682 0.567 0.686
O9 0.682 0.933 0.686
O10 0.819 0.567 0.188
O11 0.819 0.933 0.188
O12 0.869 0.250 0.440



[2]
# Mg30VCrO32 SCAN PBEsol geometry
# Formation energy (no corrections), kJ/mol of formula units: -18172
# Final energy, eV/cell: -572.8
data_Mg30VCrO32
_chemical_formula_sum 'Mg30 V1 Cr1 O32'
_space_group_name_H-M_alt 'P 1'
_space_group_IT_number 1
_space_group_name_Hall 'P 1'
_cell_length_a 8.424
_cell_length_b 8.424
_cell_length_c 8.508
_cell_angle_alpha 90.00
_cell_angle_beta 90.00
_cell_angle_gamma 90.00
loop_
_atom_site_label
_atom_site_fract_x
_atom_site_fract_y
_atom_site_fract_z
Mg1 0.000 0.000 0.000
Mg2 0.000 0.249 0.248
Mg3 0.000 0.249 0.752
Mg4 0.000 0.500 0.000
Mg5 0.000 0.500 0.500
Mg6 0.000 0.751 0.248
Mg7 0.000 0.751 0.752
Mg8 0.249 0.000 0.248
Mg9 0.249 0.000 0.752
Mg10 0.250 0.250 0.000
Mg11 0.250 0.250 0.500
Mg12 0.250 0.500 0.250
Mg13 0.250 0.500 0.750
Mg14 0.250 0.750 0.000
Mg15 0.250 0.750 0.500
Mg16 0.500 0.000 0.000
Mg17 0.500 0.000 0.500
Mg18 0.500 0.250 0.250
Mg19 0.500 0.250 0.750
Mg20 0.500 0.500 0.000
Mg21 0.500 0.750 0.250
Mg22 0.500 0.750 0.750
Mg23 0.750 0.250 0.000
Mg24 0.750 0.250 0.500
Mg25 0.750 0.500 0.250
Mg26 0.750 0.500 0.750
Mg27 0.750 0.750 0.000
Mg28 0.750 0.750 0.500
Mg29 0.751 0.000 0.248
Mg30 0.751 0.000 0.752
V1 0.500 0.500 0.500
Cr1 0.000 0.000 0.500
O1 0.000 0.000 0.235
O2 0.000 0.000 0.765
O3 0.000 0.248 0.500
O4 0.000 0.253 0.000
O5 0.000 0.500 0.251
O6 0.000 0.500 0.749
O7 0.000 0.747 0.000
O8 0.000 0.752 0.500
O9 0.246 0.500 0.500
O10 0.248 0.000 0.500
O11 0.250 0.250 0.251
O12 0.250 0.250 0.749
O13 0.250 0.500 0.000
O14 0.250 0.750 0.251
O15 0.250 0.750 0.749
O16 0.253 0.000 0.000
O17 0.500 0.000 0.251
O18 0.500 0.000 0.749
O19 0.500 0.246 0.500
O20 0.500 0.250 0.000
O21 0.500 0.500 0.248
O22 0.500 0.500 0.752
O23 0.500 0.750 0.000
O24 0.500 0.754 0.500
O25 0.747 0.000 0.000
O26 0.750 0.250 0.251
O27 0.750 0.250 0.749
O28 0.750 0.500 0.000
O29 0.750 0.750 0.251
O30 0.750 0.750 0.749
O31 0.752 0.000 0.500
O32 0.754 0.500 0.500



[3]
# MgVCrO4 SCAN PBEsol geometry
# Formation energy (no corrections), kJ/mol of formula units: -1857
# Final energy, eV/cell: -170.0
data_MgVCrO4
_chemical_formula_sum 'Mg2 V2 Cr2 O8'
_space_group_name_H-M_alt 'P 1'
_space_group_IT_number 1
_space_group_name_Hall 'P 1'
_cell_length_a 5.937
_cell_length_b 5.937
_cell_length_c 5.937
_cell_angle_alpha 121.84
_cell_angle_beta 120.00
_cell_angle_gamma 88.42
loop_
_atom_site_label
_atom_site_fract_x
_atom_site_fract_y
_atom_site_fract_z
Mg1 0.377 0.127 0.250
Mg2 0.623 0.873 0.750
V1 0.000 0.000 0.500
V2 0.000 0.500 0.000
Cr1 0.000 0.500 0.500
Cr2 0.500 0.500 0.000
O1 0.217 0.734 0.483
O2 0.237 0.258 0.521
O3 0.237 0.716 0.979
O4 0.249 0.266 0.983
O5 0.751 0.734 0.017
O6 0.763 0.284 0.021
O7 0.763 0.742 0.479
O8 0.783 0.266 0.517



[4]
# Mg30ZnCrO32 SCAN PBEsol geometry
# Formation energy (no corrections), kJ/mol of formula units: -18038
# Final energy, eV/cell: -567.5
data_Mg30ZnCrO32
_chemical_formula_sum 'Mg30 Zn1 Cr1 O32'
_space_group_name_H-M_alt 'P 1'
_space_group_IT_number 1
_space_group_name_Hall 'P 1'
_cell_length_a 8.421
_cell_length_b 8.421
_cell_length_c 8.511
_cell_angle_alpha 90.00
_cell_angle_beta 90.00
_cell_angle_gamma 90.00
loop_
_atom_site_label
_atom_site_fract_x
_atom_site_fract_y
_atom_site_fract_z
Mg1 0.000 0.000 0.000
Mg2 0.000 0.249 0.248
Mg3 0.000 0.249 0.752
Mg4 0.000 0.500 0.000
Mg5 0.000 0.500 0.500
Mg6 0.000 0.751 0.248
Mg7 0.000 0.751 0.752
Mg8 0.249 0.000 0.248
Mg9 0.249 0.000 0.752
Mg10 0.250 0.250 0.000
Mg11 0.250 0.250 0.500
Mg12 0.250 0.500 0.250
Mg13 0.250 0.500 0.750
Mg14 0.250 0.750 0.000
Mg15 0.250 0.750 0.500
Mg16 0.500 0.000 0.000
Mg17 0.500 0.000 0.500
Mg18 0.500 0.250 0.250
Mg19 0.500 0.250 0.750
Mg20 0.500 0.500 0.000
Mg21 0.500 0.750 0.250
Mg22 0.500 0.750 0.750
Mg23 0.750 0.250 0.000
Mg24 0.750 0.250 0.500
Mg25 0.750 0.500 0.250
Mg26 0.750 0.500 0.750
Mg27 0.750 0.750 0.000
Mg28 0.750 0.750 0.500
Mg29 0.751 0.000 0.248
Mg30 0.751 0.000 0.752
Zn1 0.500 0.500 0.500
Cr1 0.000 0.000 0.500
O1 0.000 0.000 0.234
O2 0.000 0.000 0.766
O3 0.000 0.247 0.500
O4 0.000 0.253 0.000
O5 0.000 0.500 0.251
O6 0.000 0.500 0.749
O7 0.000 0.747 0.000
O8 0.000 0.753 0.500
O9 0.247 0.000 0.500
O10 0.247 0.500 0.500
O11 0.250 0.250 0.251
O12 0.250 0.250 0.749
O13 0.250 0.500 0.000
O14 0.250 0.750 0.251
O15 0.250 0.750 0.749
O16 0.253 0.000 0.000
O17 0.500 0.000 0.251
O18 0.500 0.000 0.749
O19 0.500 0.247 0.500
O20 0.500 0.250 0.000
O21 0.500 0.500 0.248
O22 0.500 0.500 0.752
O23 0.500 0.750 0.000
O24 0.500 0.753 0.500
O25 0.747 0.000 0.000
O26 0.750 0.250 0.251
O27 0.750 0.250 0.749
O28 0.750 0.500 0.000
O29 0.750 0.750 0.251
O30 0.750 0.750 0.749
O31 0.753 0.000 0.500
O32 0.753 0.500 0.500



[5]
# MgCr2P SCAN PBEsol geometry
# Polymorph energy (0 for the lowest one), meV per atom: 106
# E_form, meV/atom: 157
# Final energy, eV/cell: -51.5
data_MgCr2P
_chemical_formula_sum 'Mg1 Cr2 P1'
_space_group_name_H-M_alt 'P 1'
_space_group_IT_number 1
_space_group_name_Hall 'P 1'
_cell_length_a 3.678
_cell_length_b 3.678
_cell_length_c 3.716
_cell_angle_alpha 90.00
_cell_angle_beta 90.00
_cell_angle_gamma 90.00
loop_
_atom_site_label
_atom_site_fract_x
_atom_site_fract_y
_atom_site_fract_z
Mg1 0.000 0.000 0.000
Cr1 0.000 0.500 0.500
Cr2 0.500 0.000 0.500
P1 0.500 0.500 0.000



[6]
# MgCrP2 SCAN PBEsol geometry
# Polymorph energy (0 for the lowest one), meV per atom: 0
# E_form, meV/atom: -284
# Final energy, eV/cell: -45.3
data_MgCrP2
_chemical_formula_sum 'Mg1 Cr1 P2'
_space_group_name_H-M_alt 'P 1'
_space_group_IT_number 1
_space_group_name_Hall 'P 1'
_cell_length_a 6.972
_cell_length_b 6.972
_cell_length_c 6.972
_cell_angle_alpha 26.27
_cell_angle_beta 26.27
_cell_angle_gamma 26.27
loop_
_atom_site_label
_atom_site_fract_x
_atom_site_fract_y
_atom_site_fract_z
Mg1 0.000 0.000 0.000
Cr1 0.500 0.500 0.500
P1 0.238 0.238 0.238
P2 0.762 0.762 0.762



[7]
# MgCr2P SCAN PBEsol geometry
# Polymorph energy (0 for the lowest one), meV per atom: 139
# E_form, meV/atom: 190
# Final energy, eV/cell: -51.4
data_MgCr2P
_chemical_formula_sum 'Mg1 Cr2 P1'
_space_group_name_H-M_alt 'P 1'
_space_group_IT_number 1
_space_group_name_Hall 'P 1'
_cell_length_a 2.732
_cell_length_b 2.732
_cell_length_c 7.538
_cell_angle_alpha 90.00
_cell_angle_beta 90.00
_cell_angle_gamma 108.63
loop_
_atom_site_label
_atom_site_fract_x
_atom_site_fract_y
_atom_site_fract_z
Mg1 0.000 0.000 0.000
Cr1 0.500 0.500 0.298
Cr2 0.500 0.500 0.702
P1 0.000 0.000 0.500



[8]
# MgCr2P SCAN PBEsol geometry
# Polymorph energy (0 for the lowest one), meV per atom: 0
# E_form, meV/atom: 51
# Final energy, eV/cell: -51.9
data_MgCr2P
_chemical_formula_sum 'Mg1 Cr2 P1'
_space_group_name_H-M_alt 'P 1'
_space_group_IT_number 1
_space_group_name_Hall 'P 1'
_cell_length_a 4.037
_cell_length_b 4.037
_cell_length_c 5.326
_cell_angle_alpha 98.78
_cell_angle_beta 98.78
_cell_angle_gamma 42.69
loop_
_atom_site_label
_atom_site_fract_x
_atom_site_fract_y
_atom_site_fract_z
Mg1 0.000 0.000 0.000
Cr1 0.502 0.502 0.503
Cr2 0.765 0.765 0.351
P1 0.238 0.238 0.683



[9]
# MgCr2P SCAN PBEsol geometry
# Polymorph energy (0 for the lowest one), meV per atom: 224
# E_form, meV/atom: 275
# Final energy, eV/cell: -51.0
data_MgCr2P
_chemical_formula_sum 'Mg1 Cr2 P1'
_space_group_name_H-M_alt 'P 1'
_space_group_IT_number 1
_space_group_name_Hall 'P 1'
_cell_length_a 2.681
_cell_length_b 2.681
_cell_length_c 7.948
_cell_angle_alpha 90.00
_cell_angle_beta 90.00
_cell_angle_gamma 109.82
loop_
_atom_site_label
_atom_site_fract_x
_atom_site_fract_y
_atom_site_fract_z
Mg1 0.000 0.000 0.000
Cr1 0.000 0.000 0.508
Cr2 0.500 0.500 0.722
P1 0.500 0.500 0.289



[10]
# MgCrP2 SCAN PBEsol geometry
# Polymorph energy (0 for the lowest one), meV per atom: 578
# E_form, meV/atom: 293
# Final energy, eV/cell: -43.0
data_MgCrP2
_chemical_formula_sum 'Mg1 Cr1 P2'
_space_group_name_H-M_alt 'P 1'
_space_group_IT_number 1
_space_group_name_Hall 'P 1'
_cell_length_a 2.604
_cell_length_b 2.604
_cell_length_c 9.111
_cell_angle_alpha 90.00
_cell_angle_beta 90.00
_cell_angle_gamma 103.46
loop_
_atom_site_label
_atom_site_fract_x
_atom_site_fract_y
_atom_site_fract_z
Mg1 0.000 0.000 0.000
Cr1 0.500 0.500 0.241
P1 0.000 0.000 0.423
P2 0.500 0.500 0.766



[11]
# MgCrP2 SCAN PBEsol geometry
# Polymorph energy (0 for the lowest one), meV per atom: 156
# E_form, meV/atom: -128
# Final energy, eV/cell: -44.7
data_MgCrP2
_chemical_formula_sum 'Mg1 Cr1 P2'
_space_group_name_H-M_alt 'P 1'
_space_group_IT_number 1
_space_group_name_Hall 'P 1'
_cell_length_a 4.281
_cell_length_b 4.281
_cell_length_c 3.251
_cell_angle_alpha 90.93
_cell_angle_beta 90.93
_cell_angle_gamma 101.21
loop_
_atom_site_label
_atom_site_fract_x
_atom_site_fract_y
_atom_site_fract_z
Mg1 0.000 0.000 0.000
Cr1 0.500 0.500 0.000
P1 0.000 0.500 0.500
P2 0.500 0.000 0.500



[12]
# MgCrP2 SCAN PBEsol geometry
# Polymorph energy (0 for the lowest one), meV per atom: 76
# E_form, meV/atom: -208
# Final energy, eV/cell: -45.0
data_MgCrP2
_chemical_formula_sum 'Mg1 Cr1 P2'
_space_group_name_H-M_alt 'P 1'
_space_group_IT_number 1
_space_group_name_Hall 'P 1'
_cell_length_a 3.995
_cell_length_b 3.995
_cell_length_c 5.105
_cell_angle_alpha 103.55
_cell_angle_beta 103.55
_cell_angle_gamma 46.28
loop_
_atom_site_label
_atom_site_fract_x
_atom_site_fract_y
_atom_site_fract_z
Mg1 0.000 0.000 0.000
Cr1 0.500 0.500 0.500
P1 0.234 0.234 0.674
P2 0.766 0.766 0.326